--- 1 ---
Here is crystalline YTc2Cl at its relaxed geometry from Alexandria via LeMat-Bulk. Energies are from GGA-PBE.

Properties
* magnetization: 0.0 μB/cell
* SG: Immm

Cell lengths 6.3202, 6.3202, 6.3202 Å; angles 148.48, 144.57, 48.14 degrees
Atoms (fractional coordinates):
Y: 0.0000 0.0000 0.0000
Tc: 0.2478 0.7478 0.5000
Tc: 0.7522 0.2522 0.5000
Cl: 0.5000 0.5000 0.0000

---

--- 2 ---
Here is crystalline YTc2Cl at its relaxed geometry from Alexandria via LeMat-Bulk. Energies are from GGA-PBE.

Properties
* magnetization: 0.0 μB/cell
* SG: R3m

Cell lengths 7.6653, 7.6653, 7.6653 Å; angles 30.29, 30.29, 30.29 degrees
Atoms (fractional coordinates):
Y: 0.0000 0.0000 0.0000
Tc: 0.4419 0.4419 0.4419
Tc: 0.7531 0.7531 0.7531
Cl: 0.2566 0.2566 0.2566

---

The most stable of them is 2.

---

--- 1 ---
Here is crystalline YTc2Cl at its relaxed geometry from Alexandria via LeMat-Bulk. Energies are from GGA-PBE.

Properties
* magnetization: 0.0 μB/cell
* SG: Pmmm

Cell lengths 3.1517, 4.7525, 5.5245 Å; angles 90.00, 90.00, 90.00 degrees
Atoms (fractional coordinates):
Y: 0.0000 0.0000 0.0000
Tc: 0.5000 0.5000 0.1973
Tc: 0.5000 0.5000 0.8027
Cl: 0.0000 0.0000 0.5000

---

--- 2 ---
Here is crystalline YTc2Cl at its relaxed geometry from Alexandria via LeMat-Bulk. Energies are from GGA-PBE.

Properties
* magnetization: 0.0 μB/cell
* SG: Cmmm

Cell lengths 3.0090, 3.0090, 8.8011 Å; angles 90.00, 90.00, 115.40 degrees
Atoms (fractional coordinates):
Y: 0.0000 0.0000 0.0000
Tc: 0.5000 0.5000 0.2667
Tc: 0.5000 0.5000 0.7333
Cl: 0.0000 0.0000 0.5000

---

--- 3 ---
Here is crystalline YTc2Cl at its relaxed geometry from Alexandria via LeMat-Bulk. Energies are from GGA-PBE.

Properties
* magnetization: 0.9 μB/cell
* SG: R-3m

Cell lengths 8.9352, 8.9352, 8.9352 Å; angles 19.93, 19.93, 19.93 degrees
Atoms (fractional coordinates):
Y: 0.0000 0.0000 0.0000
Tc: 0.2421 0.2421 0.2421
Tc: 0.7579 0.7579 0.7579
Cl: 0.5000 0.5000 0.5000

---

--- 4 ---
Here is crystalline YTc2Cl at its relaxed geometry from Alexandria via LeMat-Bulk. Energies are from GGA-PBE.

Properties
* magnetization: 0.0 μB/cell
* SG: Cmmm

Cell lengths 5.5293, 5.5293, 3.0551 Å; angles 90.00, 90.00, 126.06 degrees
Atoms (fractional coordinates):
Y: 0.0000 0.0000 0.0000
Tc: 0.0000 0.5000 0.5000
Tc: 0.5000 0.0000 0.5000
Cl: 0.5000 0.5000 0.0000

---

The most stable of them is 1.

---

--- 1 ---
Here is crystalline YTc2Cl at its relaxed geometry from Alexandria via LeMat-Bulk. Energies are from GGA-PBE.

Properties
* magnetization: 0.0 μB/cell
* SG: Pmmm

Cell lengths 3.6002, 3.6725, 5.7704 Å; angles 90.00, 90.00, 90.00 degrees
Atoms (fractional coordinates):
Y: 0.0000 0.0000 0.0000
Tc: 0.0000 0.5000 0.5000
Tc: 0.5000 0.0000 0.5000
Cl: 0.5000 0.5000 0.0000

---

--- 2 ---
Here is crystalline YTc2Cl at its relaxed geometry from Alexandria via LeMat-Bulk. Energies are from GGA-PBE.

Properties
* magnetization: 2.7 μB/cell
* SG: P4/mmm

Cell lengths 3.0242, 3.0242, 7.9495 Å; angles 90.00, 90.00, 90.00 degrees
Atoms (fractional coordinates):
Y: 0.0000 0.0000 0.0000
Tc: 0.5000 0.5000 0.2873
Tc: 0.5000 0.5000 0.7127
Cl: 0.0000 0.0000 0.5000

---

The most stable of them is 1.

---

--- 1 ---
Here is crystalline YTc2Cl at its relaxed geometry from Alexandria via LeMat-Bulk. Energies are from GGA-PBE.

Properties
* magnetization: 0.0 μB/cell
* SG: I-42d

Cell lengths 5.9117, 5.9117, 5.9117 Å; angles 101.76, 101.76, 126.34 degrees
Atoms (fractional coordinates):
Y: 0.0000 0.0000 0.0000
Y: 0.7500 0.2500 0.5000
Tc: 0.2196 0.1250 0.5946
Tc: 0.3750 0.7804 0.9054
Tc: 0.5304 0.6250 0.4054
Tc: 0.8750 0.4696 0.0946
Cl: 0.2500 0.7500 0.5000
Cl: 0.5000 0.5000 0.0000

---

--- 2 ---
Here is crystalline YTc2Cl at its relaxed geometry from Alexandria via LeMat-Bulk. Energies are from GGA-PBE.

Properties
* magnetization: 0.0 μB/cell
* SG: Fm-3m

Cell lengths 4.6351, 4.6351, 4.6351 Å; angles 60.00, 60.00, 60.00 degrees
Atoms (fractional coordinates):
Y: 0.0000 0.0000 0.0000
Tc: 0.2500 0.2500 0.2500
Tc: 0.7500 0.7500 0.7500
Cl: 0.5000 0.5000 0.5000

---

The most stable of them is 1.

---

--- 1 ---
Here is crystalline YTc2Cl at its relaxed geometry from Alexandria via LeMat-Bulk. Energies are from GGA-PBE.

Properties
* magnetization: 0.0 μB/cell
* SG: I-4m2

Cell lengths 4.5342, 4.5342, 4.5342 Å; angles 112.88, 112.88, 102.85 degrees
Atoms (fractional coordinates):
Y: 0.0000 0.0000 0.0000
Tc: 0.5000 0.5000 0.0000
Tc: 0.7500 0.2500 0.5000
Cl: 0.2500 0.7500 0.5000

---

--- 2 ---
Here is crystalline YTc2Cl at its relaxed geometry from Alexandria via LeMat-Bulk. Energies are from GGA-PBE.

Properties
* magnetization: 0.0 μB/cell
* SG: F-43m

Cell lengths 4.6654, 4.6654, 4.6654 Å; angles 60.00, 60.00, 60.00 degrees
Atoms (fractional coordinates):
Y: 0.0000 0.0000 0.0000
Tc: 0.5000 0.5000 0.5000
Tc: 0.7500 0.7500 0.7500
Cl: 0.2500 0.2500 0.2500

---

The most stable of them is 1.

---

--- 1 ---
Here is crystalline YTc2Cl at its relaxed geometry from Alexandria via LeMat-Bulk. Energies are from GGA-PBE.

Properties
* magnetization: 0.0 μB/cell
* SG: P4mm

Cell lengths 3.1771, 3.1771, 8.6664 Å; angles 90.00, 90.00, 90.00 degrees
Atoms (fractional coordinates):
Y: 0.0000 0.0000 0.0000
Tc: 0.0000 0.0000 0.6164
Tc: 0.5000 0.5000 0.7534
Cl: 0.5000 0.5000 0.2047

---

--- 2 ---
Here is crystalline YTc2Cl at its relaxed geometry from Alexandria via LeMat-Bulk. Energies are from GGA-PBE.

Properties
* magnetization: 0.0 μB/cell
* SG: P2/m

Cell lengths 3.1865, 5.4911, 4.2890 Å; angles 90.00, 91.35, 90.00 degrees
Atoms (fractional coordinates):
Y: 0.0000 0.0000 0.0000
Tc: 0.3113 0.5000 0.2433
Tc: 0.6887 0.5000 0.7567
Cl: 0.5000 0.0000 0.5000

---

The most stable of them is 1.

---

--- 1 ---
Here is crystalline YTc2Cl at its relaxed geometry from Alexandria via LeMat-Bulk. Energies are from GGA-PBE.

Properties
* magnetization: 0.0 μB/cell
* SG: Imm2

Cell lengths 5.2604, 5.2604, 5.2604 Å; angles 139.82, 117.40, 77.05 degrees
Atoms (fractional coordinates):
Y: 0.0000 0.0000 0.0000
Tc: 0.3288 0.8288 0.5000
Tc: 0.5109 0.5109 0.0000
Cl: 0.7378 0.2378 0.5000

---

--- 2 ---
Here is crystalline YTc2Cl at its relaxed geometry from Alexandria via LeMat-Bulk. Energies are from GGA-PBE.

Properties
* magnetization: 0.0 μB/cell
* SG: Amm2

Cell lengths 3.1362, 7.8481, 7.8481 Å; angles 23.21, 90.00, 90.00 degrees
Atoms (fractional coordinates):
Y: 0.0000 0.0000 0.0000
Tc: 0.0000 0.2197 0.2197
Tc: 0.5000 0.6360 0.6360
Cl: 0.5000 0.3764 0.3764

---

--- 3 ---
Here is crystalline YTc2Cl at its relaxed geometry from Alexandria via LeMat-Bulk. Energies are from GGA-PBE.

Properties
* magnetization: 0.0 μB/cell
* SG: C2/m

Cell lengths 5.8176, 5.8176, 4.3350 Å; angles 94.26, 94.26, 33.30 degrees
Atoms (fractional coordinates):
Y: 0.0000 0.0000 0.0000
Tc: 0.2813 0.2813 0.1819
Tc: 0.7187 0.7187 0.8181
Cl: 0.5000 0.5000 0.5000

---

The most stable of them is 2.

---

--- 1 ---
Here is crystalline Y2TcCl at its relaxed geometry from Alexandria via LeMat-Bulk. Energies are from GGA-PBE.

Properties
* magnetization: 0.0 μB/cell
* SG: P2/m

Cell lengths 3.5227, 3.4374, 8.0081 Å; angles 90.00, 90.55, 90.00 degrees
Atoms (fractional coordinates):
Y: 0.0130 0.0000 0.2950
Y: 0.9870 0.0000 0.7050
Tc: 0.5000 0.5000 0.5000
Cl: 0.0000 0.5000 0.0000

---

--- 2 ---
Here is crystalline Y2TcCl at its relaxed geometry from Alexandria via LeMat-Bulk. Energies are from GGA-PBE.

Properties
* magnetization: 0.0 μB/cell
* SG: F-43m

Cell lengths 4.9562, 4.9562, 4.9562 Å; angles 60.00, 60.00, 60.00 degrees
Atoms (fractional coordinates):
Y: 0.0000 0.0000 0.0000
Y: 0.2500 0.2500 0.2500
Tc: 0.7500 0.7500 0.7500
Cl: 0.5000 0.5000 0.5000

---

The most stable of them is 1.